# 1
Tb2ScBe | GGA-PBE | optimized geometry

For the energy above the most stable polymorph in this dataset, the calculation gives 2.31 eV/f.u. For the density of states at the Fermi level, the calculation gives 0.88 states/eV/atom. The energy of formation comes out at 0.67 eV/atom.

extended XYZ file:
```
12
Lattice="3.328 0.000 0.000 -1.664 2.882 0.000 0.000 0.000 33.465" Properties=species:S:1:pos:R:3 pbc="T T T"
Tb 0.000 0.000 2.894
Tb 0.000 0.000 30.571
Tb 0.000 1.922 19.416
Tb 0.000 1.922 25.204
Tb 1.664 0.961 8.261
Tb 1.664 0.961 14.049
Sc 0.000 0.000 16.733
Sc 0.000 1.922 5.578
Sc 1.664 0.961 27.888
Be 0.000 0.000 0.000
Be 0.000 1.922 22.310
Be 1.664 0.961 11.155
```

=====

# 2
LaSn3Ru | GGA-PBE | optimized geometry

For the density of states at the Fermi level, the calculation gives 2.18 states/eV/atom. The energy of formation comes out at 1.69 eV/atom.

extended XYZ file:
```
5
Lattice="5.843 0.000 0.000 0.000 5.843 0.000 0.000 0.000 5.843" Properties=species:S:1:pos:R:3 pbc="T T T"
La 0.000 0.000 0.000
Sn 0.000 0.000 2.922
Sn 0.000 2.922 0.000
Sn 2.922 0.000 0.000
Ru 2.922 2.922 2.922
```

=====

# 3
AcPrSe3 | GGA-PBE | optimized geometry

For the energy above the most stable polymorph in this dataset, the calculation gives 0.20 eV/f.u. For the raw formation energy, the calculation gives -1940 meV/atom.

extended XYZ file:
```
10
Lattice="4.376 0.000 0.000 0.000 7.264 0.000 0.000 0.000 9.504" Properties=species:S:1:pos:R:3 pbc="T T T"
Ac 1.094 1.816 1.400
Ac 3.282 5.448 8.105
Pr 1.094 5.448 3.816
Pr 3.282 1.816 5.688
Se 1.094 3.766 6.340
Se 1.094 5.448 0.703
Se 1.094 7.129 6.340
Se 3.282 0.134 3.164
Se 3.282 1.816 8.801
Se 3.282 3.497 3.164
```

=====

# 4
CdRe2Au | GGA-PBE | optimized geometry

For the density of states at the Fermi level, the calculation gives 0.59 states/eV/atom. The energy of formation comes out at 0.61 eV/atom.

extended XYZ file:
```
8
Lattice="2.820 0.000 0.000 0.000 4.670 0.000 0.000 0.000 10.489" Properties=species:S:1:pos:R:3 pbc="T T T"
Cd 0.000 0.000 0.000
Cd 1.410 2.335 5.245
Re 0.000 2.335 2.382
Re 0.000 2.335 8.107
Re 1.410 0.000 2.862
Re 1.410 0.000 7.627
Au 0.000 0.000 5.245
Au 1.410 2.335 0.000
```

=====

# 5
KRb5Br7 | GGA-PBE | optimized geometry

For the density of states at the Fermi level, the calculation gives 0.19 states/eV/atom. For the raw formation energy, the calculation gives -1546 meV/atom.

extended XYZ file:
```
26
Lattice="8.414 -2.481 0.000 8.414 2.481 0.000 -0.115 0.000 27.494" Properties=species:S:1:pos:R:3 pbc="T T T"
K 0.000 0.000 0.000
K 10.278 0.000 13.858
Rb 1.300 0.000 18.608
Rb 1.361 0.000 8.961
Rb 4.643 0.000 2.709
Rb 4.557 0.000 24.850
Rb 5.598 0.000 16.474
Rb 5.635 0.000 11.093
Rb 8.920 0.000 4.832
Rb 8.851 0.000 22.733
Rb 13.556 0.000 6.892
Rb 13.490 0.000 20.666
Br 2.840 0.000 5.738
Br 2.774 0.000 21.813
Br 3.782 0.000 13.775
Br 6.503 0.000 0.039
Br 7.377 0.000 19.522
Br 7.441 0.000 8.050
Br 10.665 0.000 1.445
Br 10.566 0.000 26.076
Br 11.876 0.000 17.638
Br 11.944 0.000 9.899
Br 15.173 0.000 3.878
Br 15.103 0.000 23.691
Br 16.442 0.000 12.381
Br 16.421 0.000 15.248
```

=====

# 6
Sr3TmCd4 | GGA-PBE | optimized geometry

For the density of states at the Fermi level, the calculation gives 0.78 states/eV/atom. The energy of formation comes out at -0.31 eV/atom.

extended XYZ file:
```
8
Lattice="3.917 0.000 0.000 0.000 3.917 0.000 0.000 0.000 16.168" Properties=species:S:1:pos:R:3 pbc="T T T"
Sr 0.000 0.000 0.000
Sr 0.000 0.000 4.233
Sr 0.000 0.000 11.935
Tm 0.000 0.000 8.084
Cd 1.958 1.958 2.115
Cd 1.958 1.958 6.427
Cd 1.958 1.958 9.742
Cd 1.958 1.958 14.054
```

=====

# 7
MgPa3N6 | GGA-PBE | optimized geometry

For the density of states at the Fermi level, the calculation gives 0.54 states/eV/atom. For the raw formation energy, the calculation gives -1400 meV/atom.

extended XYZ file:
```
20
Lattice="4.559 -5.607 0.000 4.559 5.607 0.000 0.000 0.000 5.558" Properties=species:S:1:pos:R:3 pbc="T T T"
Mg 4.559 3.788 2.779
Mg 4.559 -3.788 0.000
Pa 1.830 1.321 2.675
Pa 1.830 -1.321 5.454
Pa 4.559 1.219 5.163
Pa 4.559 -1.219 2.384
Pa 7.289 1.321 2.675
Pa 7.289 -1.321 5.454
N 4.559 5.406 4.438
N 3.111 2.653 3.926
N 4.559 3.121 0.755
N 3.119 0.154 1.149
N 3.119 -0.154 3.928
N 6.007 2.653 3.926
N 3.111 -2.653 1.147
N 6.000 0.154 1.149
N 6.000 -0.154 3.928
N 4.559 -3.121 3.534
N 6.007 -2.653 1.147
N 4.559 -5.406 1.659
```

=====

# 8
SrFe2Se | GGA-PBE | optimized geometry

For the density of states at the Fermi level, the calculation gives 0.83 states/eV/atom. For the raw formation energy, the calculation gives -202 meV/atom.

extended XYZ file:
```
12
Lattice="4.008 0.000 0.000 -2.004 3.471 0.000 0.000 0.000 16.690" Properties=species:S:1:pos:R:3 pbc="T T T"
Sr 0.000 0.000 0.000
Sr 0.000 2.314 11.126
Sr 2.004 1.157 5.563
Fe 0.000 0.000 8.061
Fe 0.000 0.000 13.344
Fe 0.000 2.314 2.498
Fe 0.000 2.314 7.780
Fe 2.004 1.157 2.217
Fe 2.004 1.157 13.624
Se 0.000 0.000 3.363
Se 0.000 2.314 14.489
Se 2.004 1.157 8.926
```

=====

# 9
Pm4SbO10 | GGA-PBE | optimized geometry

For the density of states at the Fermi level, the calculation gives 0.70 states/eV/atom. For the raw formation energy, the calculation gives -2419 meV/atom.

extended XYZ file:
```
15
Lattice="-4.327 4.327 2.778 4.327 -4.327 2.778 4.327 4.327 -2.778" Properties=species:S:1:pos:R:3 pbc="T T T"
Pm 6.025 0.845 0.000
Pm 0.845 2.630 0.000
Pm 3.482 1.697 2.778
Pm -1.697 3.482 2.778
Sb 0.000 0.000 2.778
O 5.149 2.766 -1.255
O 2.766 3.505 -1.255
O 4.327 0.000 1.389
O 1.561 0.822 1.523
O -0.822 1.561 1.523
O 5.149 2.766 1.255
O 2.766 3.505 1.255
O 0.000 4.327 1.389
O 1.561 0.822 4.033
O -0.822 1.561 4.033
```

=====

Number 1: M_tot 0.000 μB/atom. Number 2: M_tot 0.007 μB/atom. Number 3: M_tot 0.000 μB/atom. Number 4: M_tot 0.000 μB/atom. Number 5: M_tot 0.079 μB/atom. Number 6: M_tot 0.000 μB/atom. Number 7: M_tot 0.000 μB/atom. Number 8: M_tot 0.692 μB/atom. Number 9: M_tot 0.204 μB/atom.